1.
Material: Tb2Nd2Ga
Method: DFT, PBE
State: relaxed

Results
Its symmetry is No. 139. Its crystal system is tetragonal. The formation energy comes out at 359 meV/atom.

abc: 4.270 4.270 9.416
angles: 103.11 103.11 90.00
Element x y z (fractional)
Ga 0.000 0.000 0.000
Nd 0.750 0.250 0.500
Nd 0.250 0.750 0.500
Tb 0.417 0.417 0.833
Tb 0.583 0.583 0.167

2.
Material: Be2AgBr
Method: DFT, PBE
State: relaxed

Results
Its symmetry is No. 47. Its crystal system is orthorhombic. As for the energy relative to the lowest polymorph listed for this composition: 465 meV/atom.

abc: 3.389 6.434 3.340
angles: 90.00 90.00 90.00
Element x y z (fractional)
Ag 0.000 0.500 0.500
Be 0.500 0.500 0.000
Be 0.000 0.000 0.000
Br 0.500 0.000 0.500

3.
Material: BaU2NiS8
Method: DFT, PBE
State: relaxed

Results
For the energy, the calculation gives -75.27 eV per cell. Its symmetry is No. 10. Its crystal system is monoclinic.

abc: 6.353 6.355 8.202
angles: 90.00 89.99 79.68
Each line ends with the local moment (μB).
Element x y z (fractional)
S 0.661 0.664 0.500  0.01
S 0.804 0.198 0.185  0.00
S 0.339 0.336 0.500  0.01
S 0.335 0.333 0.000  0.01
S 0.804 0.198 0.815  0.00
S 0.196 0.802 0.815  0.00
S 0.665 0.667 0.000  0.01
S 0.196 0.802 0.185  0.00
U 0.500 0.500 0.240  -0.10
U 0.500 0.500 0.760  -0.10
Ba 0.000 0.000 0.500  0.00
Ni 0.000 0.000 0.000  -0.06

4.
Material: NiGe3S
Method: DFT, PBE
State: relaxed

Results
Its symmetry is No. 221. Its crystal system is cubic. As for the energy relative to the lowest polymorph listed for this composition: 805 meV/atom.

abc: 4.818 4.818 4.818
angles: 90.00 90.00 90.00
Element x y z (fractional)
S 0.000 0.000 0.000
Ge 0.500 0.000 0.000
Ge 0.000 0.500 0.000
Ge 0.000 0.000 0.500
Ni 0.500 0.500 0.500

5.
Material: HfCuPd
Method: DFT, PBE
State: relaxed

Results
Its symmetry is No. 107. Its crystal system is tetragonal. The formation energy comes out at -546 meV/atom. As for the energy relative to the lowest polymorph listed for this composition: 0 meV/atom.

abc: 3.410 3.410 4.846
angles: 110.60 110.60 90.00
Element x y z (fractional)
Pd 0.949 0.949 0.899
Hf 0.284 0.284 0.567
Cu 0.617 0.617 0.234

6.
Material: GaSbH2
Method: DFT, PBE
State: relaxed

Results
Its symmetry is No. 11. Its crystal system is monoclinic. As for the energy relative to the lowest polymorph listed for this composition: 198 meV/atom.

abc: 4.309 6.147 6.890
angles: 104.52 90.00 90.00
Element x y z (fractional)
H 0.750 0.618 0.223
H 0.250 0.382 0.777
H 0.250 0.257 0.083
H 0.750 0.743 0.917
Sb 0.750 0.841 0.699
Sb 0.250 0.159 0.301
Ga 0.250 0.551 0.640
Ga 0.750 0.449 0.360

7.
Material: AlRuSe
Method: DFT, PBE
State: relaxed

Results
Its symmetry is No. 42. Its crystal system is orthorhombic. As for the energy relative to the lowest polymorph listed for this composition: 330 meV/atom.

abc: 6.685 6.388 2.970
angles: 82.53 71.34 26.13
Element x y z (fractional)
Ru 0.662 0.662 0.338
Al 0.010 0.010 0.990
Se 0.328 0.328 0.672

8.
Material: Tb2SmTl2Zn2
Method: DFT, PBE
State: relaxed

Results
Its symmetry is No. 166. Its crystal system is trigonal. The formation energy comes out at -171 meV/atom.

abc: 4.773 4.773 9.517
angles: 75.48 75.48 60.00
Element x y z (fractional)
Sm 0.000 0.000 0.000
Tb 0.129 0.129 0.612
Tb 0.871 0.871 0.388
Tl 0.266 0.266 0.203
Tl 0.734 0.734 0.797
Zn 0.416 0.416 0.751
Zn 0.584 0.584 0.249

9.
Material: LiAl2Pt
Method: DFT, PBE
State: relaxed

Results
Its symmetry is No. 166. Its crystal system is trigonal. The formation energy comes out at -355 meV/atom.

abc: 8.899 8.899 8.899
angles: 18.78 18.78 18.78
Element x y z (fractional)
Li 0.250 0.250 0.250
Al 0.495 0.495 0.495
Al 0.005 0.005 0.005
Pt 0.750 0.750 0.750

10.
Material: HfAl2Cl
Method: DFT, PBE
State: relaxed

Results
Its symmetry is No. 225. Its crystal system is cubic. As for the energy relative to the lowest polymorph listed for this composition: 117 meV/atom.

abc: 4.888 4.888 4.888
angles: 60.00 60.00 60.00
Element x y z (fractional)
Hf 0.500 0.500 0.500
Cl 0.000 0.000 0.000
Al 0.750 0.750 0.750
Al 0.250 0.250 0.250

11.
Material: Th2PdRh
Method: DFT, PBE
State: relaxed

Results
Its symmetry is No. 166. Its crystal system is trigonal. The formation energy comes out at -228 meV/atom.

abc: 3.962 3.962 8.989
angles: 77.27 77.27 60.00
Element x y z (fractional)
Rh 0.500 0.500 0.500
Th 0.103 0.103 0.690
Th 0.897 0.897 0.310
Pd 0.000 0.000 0.000

12.
Material: CuAs4Os
Method: DFT, PBE
State: relaxed

Results
Its symmetry is No. 216. Its crystal system is cubic. The formation energy comes out at 1080 meV/atom.

abc: 5.345 5.345 5.345
angles: 60.00 60.00 60.00
Each line ends with the local moment (μB).
Element x y z (fractional)
As 0.375 0.875 0.375  0.03
As 0.375 0.375 0.875  0.03
As 0.875 0.375 0.375  0.03
As 0.375 0.375 0.375  0.03
Cu 0.750 0.750 0.750  0.02
Os 0.000 0.000 0.000  0.72